Compound: KPa4Ni3S12
Source: Alexandria
Functional: PBE-GGA
Structure: optimized geometry

Cell: 9.6687 9.6687 9.6687 Å, 90.00 90.00 90.00°
Closest atoms and distances in Å follow each position.
Space group Im-3 (No. 204)
Asymmetric unit:
K (0.0000, 0.0000, 0.0000) [2 per cell]  12 S 3.50
Pa (0.2500, 0.2500, 0.2500) [8 per cell]  6 S 2.67
Ni (0.0000, 0.0000, 0.5000) [6 per cell]  4 S 2.30
S (0.0000, 0.1609, 0.3246) [24 per cell]  1 Ni 2.30

Summary:
density of states at the Fermi level	1.91	states/eV/cell
total magnetic moment	2.90	μB/f.u.
uncorrected formation energy	-25.6	kcal/mol of atoms

***

Compound: K2Pa2NiS6
Source: Alexandria
Functional: PBE-GGA
Structure: optimized geometry

Cell: 6.4532 12.8364 7.7354 Å, 90.00 104.00 90.00°
Closest atoms and distances in Å follow each position.
Space group C2/m (No. 12)
Asymmetric unit:
K (0.0000, 0.1451, 0.0000) [4 per cell]  6 S 3.13-3.29
Pa (0.0000, 0.3419, 0.5000) [4 per cell]  6 S 2.61-2.72
Ni (0.0000, 0.0000, 0.5000) [2 per cell]  2 S 2.21
S (0.2419, 0.0000, 0.3401) [4 per cell]  1 Ni 2.21
S (0.2431, 0.1978, 0.7061) [8 per cell]  2 Pa 2.61-2.69

Summary:
density of states at the Fermi level	3.07	states/eV/cell
total magnetic moment	0.26	μB/f.u.
uncorrected formation energy	-30.1	kcal/mol of atoms

***

Compound: KPaNiS4
Source: Alexandria
Functional: PBE-GGA
Structure: optimized geometry

Cell: 6.5953 5.6393 8.9171 Å, 90.00 106.52 90.00°
Closest atoms and distances in Å follow each position.
Space group P2_1/m (No. 11)
Asymmetric unit:
K (0.2426, 0.2500, 0.4483) [2 per cell]  8 S 3.15-3.47
Pa (0.2344, 0.2500, 0.9428) [2 per cell]  6 S 2.58-2.86
Ni (0.2653, 0.7500, 0.1640) [2 per cell]  4 S 2.18-2.23
S (0.0562, 0.7500, 0.3220) [2 per cell]  1 Ni 2.23
S (0.0765, 0.7500, 0.9167) [2 per cell]  1 Ni 2.20
S (0.4837, 0.5140, 0.7970) [4 per cell]  1 Ni 2.18

Summary:
density of states at the Fermi level	8.25	states/eV/cell
total magnetic moment	0.81	μB/f.u.
uncorrected formation energy	-26.9	kcal/mol of atoms